Record 1
A plane-wave DFT calculation with PBE was carried out for crystalline SmDy4ErS8 at its relaxed geometry.

Geometry as POSCAR:
```
SmDy4ErS8
1.0
4.035 2.330 6.575
-4.035 2.330 6.575
0.000 -4.660 6.575
Sm Dy Er S
1 4 1 8
direct
0.000 0.000 0.000
0.126 0.624 0.624
0.249 0.249 0.249
0.624 0.126 0.624
0.624 0.624 0.126
0.624 0.624 0.624
0.382 0.382 0.382
0.384 0.384 0.852
0.384 0.852 0.384
0.405 0.863 0.863
0.852 0.384 0.384
0.863 0.405 0.863
0.863 0.863 0.405
0.865 0.865 0.865
```

Summary:
Formation energy (no corrections), meV/atom: -1929
Space group: R3m (160)
M_tot, μB/atom: 0.000



Record 2
A plane-wave DFT calculation with PBE was carried out for crystalline CeAsNO4F2 at its relaxed geometry.

Geometry as POSCAR:
```
CeAsNO4F2
1.0
7.143 0.000 0.000
0.000 5.989 0.000
-3.519 0.000 7.048
Ce As N O F
2 2 2 8 4
direct
0.091 0.250 0.178
0.909 0.750 0.822
0.273 0.750 0.545
0.727 0.250 0.455
0.412 0.250 0.816
0.588 0.750 0.184
0.143 0.750 0.681
0.205 0.517 0.403
0.205 0.983 0.403
0.464 0.250 0.310
0.536 0.750 0.690
0.795 0.017 0.597
0.795 0.483 0.597
0.857 0.250 0.319
0.170 0.000 0.997
0.170 0.500 0.997
0.830 0.000 0.003
0.830 0.500 0.003
```

Summary:
Formation energy (no corrections), meV/atom: -1330
Space group: P2_1/m (11)
M_tot, μB/atom: 0.439



Record 3
A plane-wave DFT calculation with PBE was carried out for crystalline CaTb2Pm6Pr at its relaxed geometry.

Geometry as POSCAR:
```
CaTb2Pm6Pr
1.0
4.613 -7.747 0.000
4.613 7.747 0.000
-1.386 0.000 9.812
Ca Tb Pm Pr
2 4 12 2
direct
0.097 0.903 0.750
0.903 0.097 0.250
0.199 0.301 0.956
0.301 0.199 0.456
0.699 0.801 0.544
0.801 0.699 0.044
0.005 0.790 0.378
0.067 0.528 0.176
0.210 0.995 0.122
0.259 0.615 0.552
0.385 0.741 0.948
0.472 0.933 0.324
0.528 0.067 0.676
0.615 0.259 0.052
0.741 0.385 0.448
0.790 0.005 0.878
0.933 0.472 0.824
0.995 0.210 0.622
0.474 0.526 0.250
0.526 0.474 0.750
```

Summary:
Space group: C2/c (15)
M_tot, μB/atom: 0.000
Energy of formation from the pure elements, eV per atom: 0.1317



Record 4
A plane-wave DFT calculation with PBE was carried out for crystalline CeTmGa4 at its relaxed geometry.

Geometry as POSCAR:
```
CeTmGa4
1.0
4.243 0.000 0.000
-2.121 3.675 0.000
0.000 0.000 8.158
Ce Tm Ga
1 1 4
direct
0.000 0.000 0.000
0.000 0.000 0.500
0.333 0.667 0.256
0.333 0.667 0.744
0.667 0.333 0.256
0.667 0.333 0.744
```

Summary:
Space group: P6/mmm (191)
M_tot, μB/atom: 0.099
Energy of formation from the pure elements, eV per atom: -0.5951
Offset from the most stable computed form, kJ/mol of formula units: 0.0



Record 5
A plane-wave DFT calculation with PBE was carried out for crystalline Zn2Ga2Cu5Au3 at its relaxed geometry.

Geometry as POSCAR:
```
Zn2Ga2Cu5Au3
1.0
-1.892 1.892 12.893
1.892 -1.892 12.893
1.892 1.892 -12.893
Zn Ga Cu Au
2 2 5 3
direct
0.236 0.236 0.000
0.764 0.764 0.000
0.139 0.139 0.000
0.861 0.861 0.000
0.000 0.000 0.000
0.074 0.574 0.500
0.426 0.926 0.500
0.574 0.074 0.500
0.926 0.426 0.500
0.337 0.337 0.000
0.500 0.500 0.000
0.663 0.663 0.000
```

Summary:
Space group: I4/mmm (139)
M_tot, μB/atom: 0.000
Energy of formation from the pure elements, eV per atom: -0.0280



Record 6
A plane-wave DFT calculation with PBE was carried out for crystalline Ca2TaIr at its relaxed geometry.

Geometry as POSCAR:
```
Ca2TaIr
1.0
3.161 0.000 0.000
-1.581 2.738 0.000
0.000 0.000 30.014
Ca Ta Ir
6 3 3
direct
0.000 0.000 0.240
0.000 0.000 0.760
0.333 0.667 0.426
0.333 0.667 0.907
0.667 0.333 0.093
0.667 0.333 0.574
0.000 0.000 0.000
0.333 0.667 0.667
0.667 0.333 0.333
0.000 0.000 0.500
0.333 0.667 0.167
0.667 0.333 0.833
```

Summary:
Space group: R-3m (166)
M_tot, μB/atom: 0.032
Energy of formation from the pure elements, eV per atom: 0.4626
Offset from the most stable computed form, kJ/mol of formula units: 213.8